An optimized crystal structure of RbMn2F6, computed with PBE with a Hubbard U.

Results
The total energy comes out at -101.41 eV for the cell shown. As for the volume: 328.2 Å³/cell. As for the density: 3130 kg/m3. The density of states at the Fermi level comes out at 2.71 states/eV per cell.

```
data_RbMn2F6
_chemical_formula_sum 'Rb2 Mn4 F12'
_cell_length_a 10.452
_cell_length_b 4.248
_cell_length_c 8.181
_cell_angle_alpha 90.00
_cell_angle_beta 115.35
_cell_angle_gamma 90.00
_space_group_name_H-M_alt 'C 1 2/m 1'
_space_group_IT_number 12
loop_
_space_group_symop_operation_xyz
'x,y,z'
'-x,-y,-z'
'-x,y,-z'
'x,-y,z'
'x+1/2,y+1/2,z'
'-x+1/2,-y+1/2,-z'
'-x+1/2,y+1/2,-z'
'x+1/2,-y+1/2,z'
loop_
_atom_site_label
_atom_site_type_symbol
_atom_site_fract_x
_atom_site_fract_y
_atom_site_fract_z
Rb1 Rb 0.000 0.000 0.000
Mn1 Mn 0.170 0.000 0.586
F1 F 0.004 0.000 0.652
F2 F 0.189 0.500 0.172
F3 F 0.198 0.500 0.549
```